1.
Below is CrSb2Rh after structural relaxation, with properties calculated at the GGA-PBE level.

a b c (Å): 4.4004 4.4004 5.8469
angles (deg): 77.58 77.58 46.05
Element x y z (fractional)
Cr 0.7500 0.7500 0.7500
Rh 0.2500 0.2500 0.2500
Sb 0.9934 0.9934 0.0122
Sb 0.5066 0.5066 0.4878

Properties
- calculated density (Mg/m³) = 8.35

2.
Below is CrSbRh2 after structural relaxation, with properties calculated at the GGA-PBE level.

a b c (Å): 3.7706 4.0753 4.0753
angles (deg): 90.00 90.00 90.00
Element x y z (fractional)
Sb 0.5000 0.5000 0.0000
Rh 0.0000 0.0000 0.0000
Rh 0.0000 0.5000 0.5000
Cr 0.5000 0.0000 0.5000

Properties
- calculated density (Mg/m³) = 10.06

Looking at calculated total energy for the records above, in order, we have -0.458 -0.539 Ry per atom.
Looking at E_form (uncorrected) for the records above, in order, we have 0.07 -0.22 eV/atom.
Looking at total magnetization for the records above, in order, we have 0.93 0.86 μB/atom.